[1]
NaPm3 PBE relaxed; E above lowest polymorph = 15 meV per atom; formation energy = 0.1953 eV/atom; space group = Pmm2 (25); energy = -3.70 eV/atom
1.0
3.6204 0.0000 0.0000
0.0000 5.9697 0.0000
0.0000 0.0000 6.2987
Na Pm
1 3
Direct
0.0000 0.0000 0.0000
0.0000 0.5000 0.6448
0.5000 0.0000 0.5067
0.5000 0.5000 0.1575

[2]
NaPm3 PBE relaxed; E above lowest polymorph = 0 meV per atom; formation energy = 0.1801 eV/atom; space group = Imm2 (44); energy = -3.71 eV/atom
1.0
-1.8531 5.9263 3.0964
1.8531 -5.9263 3.0964
1.8531 5.9263 -3.0964
Na Pm
1 3
Direct
0.0000 0.0000 0.0000
0.1244 0.3761 0.7483
0.4906 0.9906 0.5000
0.6279 0.3761 0.2517

[3]
Na4Pm PBE relaxed; formation energy = 0.8093 eV/atom; space group = Pm-3m (221); energy = -1.20 eV/atom
1.0
6.5901 0.0000 0.0000
0.0000 6.5901 0.0000
0.0000 0.0000 6.5901
Na Pm
4 1
Direct
0.0000 0.0000 0.0000
0.0000 0.5000 0.5000
0.5000 0.0000 0.5000
0.5000 0.5000 0.0000
0.5000 0.5000 0.5000

Question: The highest formation energy belongs to which entry?
Answer: Na4Pm

Question: Look up the energy of the second one.
Answer: -3.71 eV/atom

Question: Among the records above, which one has the lowest energy?
Answer: number 2

Question: Which of these has the highest formation energy?
Answer: Na4Pm